A plane-wave DFT calculation with PBE with a Hubbard U was carried out for a geometry-optimized La2NbCrO6 structure.

Properties
As for the calculated volume: 134.8 Å³/cell. As for the symmetry: I4/m. The total energy comes out at -8.447 eV/atom. For the density of states at the Fermi level, the calculation gives 4.156 states/eV/f.u.

Cell and atoms, written as CIF:
```
data_La2NbCrO6
_chemical_formula_sum 'La2 Nb1 Cr1 O6'
_symmetry_space_group_name_H-M 'P 1'
_symmetry_Int_Tables_number 1
_cell_length_a 5.7460
_cell_length_b 5.7460
_cell_length_c 5.7460
_cell_angle_alpha 119.68
_cell_angle_beta 119.68
_cell_angle_gamma 90.55
loop_
_symmetry_equiv_pos_as_xyz
'x,y,z'
loop_
_atom_site_label
_atom_site_type_symbol
_atom_site_fract_x
_atom_site_fract_y
_atom_site_fract_z
La1 La 0.2500 0.7500 0.5000
La2 La 0.7500 0.2500 0.5000
Nb1 Nb 0.0000 0.0000 0.0000
Cr1 Cr 0.5000 0.5000 0.0000
O1 O 0.1657 0.3157 0.4814
O2 O 0.2528 0.2528 0.0000
O3 O 0.3157 0.8343 0.1500
O4 O 0.6843 0.1657 0.8500
O5 O 0.7472 0.7472 0.0000
O6 O 0.8343 0.6843 0.5186
```